First-principles (PBE) data for a geometry-optimized NaAlC structure, as listed in Alexandria.

Cell: 8.763 5.493 5.508 Å, 90.00 90.00 90.00°
Element x y z (fractional)
Na: 0.149 0.250 0.013
Na: 0.351 0.750 0.513
Na: 0.649 0.250 0.487
Na: 0.851 0.750 0.987
Al: 0.000 0.000 0.500
Al: 0.000 0.500 0.500
Al: 0.500 0.000 0.000
Al: 0.500 0.500 0.000
C: 0.080 0.750 0.693
C: 0.420 0.250 0.193
C: 0.580 0.750 0.807
C: 0.920 0.250 0.307

DFT formation energy = 0.667 eV per atom
E = -4.095 eV per atom

First-principles (PBE) data for a geometry-optimized NaAlC structure, as listed in Alexandria.

Cell: 3.730 3.730 5.782 Å, 90.00 90.00 90.00°
Element x y z (fractional)
Na: 0.250 0.750 0.000
Na: 0.750 0.250 0.000
Al: 0.250 0.750 0.500
Al: 0.750 0.250 0.500
C: 0.250 0.250 0.334
C: 0.750 0.750 0.666

DFT formation energy = 0.220 eV per atom
E = -4.542 eV per atom

First-principles (PBE) data for a geometry-optimized NaAlC structure, as listed in Alexandria.

Cell: 4.797 4.797 5.953 Å, 106.09 106.09 57.80°
Element x y z (fractional)
Na: 0.000 0.000 0.000
Na: 0.242 0.242 0.712
Al: 0.519 0.519 0.485
Al: 0.821 0.821 0.371
C: 0.175 0.460 0.168
C: 0.460 0.175 0.168

DFT formation energy = 0.348 eV per atom
E = -4.414 eV per atom

First-principles (PBE) data for a geometry-optimized NaAlC structure, as listed in Alexandria.

Cell: 3.159 6.220 6.325 Å, 99.53 104.45 103.71°
Element x y z (fractional)
Na: 0.000 0.000 0.000
Na: 0.474 0.350 0.549
Al: 0.159 0.823 0.498
Al: 0.818 0.504 0.112
C: 0.224 0.681 0.754
C: 0.271 0.597 0.929

DFT formation energy = 0.323 eV per atom
E = -4.439 eV per atom

First-principles (PBE) data for a geometry-optimized NaAlC structure, as listed in Alexandria.

Cell: 2.619 8.335 4.590 Å, 90.00 93.00 90.00°
Element x y z (fractional)
Na: 0.000 0.000 0.000
Na: 0.500 0.359 0.500
Al: 0.000 0.623 0.000
Al: 0.500 0.763 0.500
C: 0.000 0.100 0.500
C: 0.500 0.023 0.500

DFT formation energy = 0.355 eV per atom
E = -4.406 eV per atom

First-principles (PBE) data for a geometry-optimized NaAlC structure, as listed in Alexandria.

Cell: 3.437 5.228 5.223 Å, 90.00 90.00 90.00°
Element x y z (fractional)
Na: 0.000 0.075 0.000
Na: 0.500 0.925 0.500
Al: 0.000 0.453 0.425
Al: 0.500 0.547 0.925
C: 0.000 0.638 0.756
C: 0.500 0.362 0.256

DFT formation energy = 0.202 eV per atom
E = -4.560 eV per atom